VASP calculation (PBE+U) on a geometry-optimized PaTiCrO6 structure.

POSCAR file:
```
PaTiCrO6
1.0
5.384 0.000 0.000
-2.692 4.663 0.000
0.000 0.000 8.592
Pa Ti Cr O
2 2 2 12
Direct
0.333 0.667 0.250 Pa
0.667 0.333 0.750 Pa
0.667 0.333 0.250 Ti
0.333 0.667 0.750 Ti
0.000 0.000 0.000 Cr
0.000 0.000 0.500 Cr
0.683 0.655 0.128 O
0.972 0.317 0.128 O
0.317 0.972 0.628 O
0.028 0.683 0.872 O
0.345 0.317 0.372 O
0.972 0.655 0.372 O
0.655 0.972 0.872 O
0.683 0.028 0.372 O
0.028 0.345 0.628 O
0.345 0.028 0.128 O
0.655 0.683 0.628 O
0.317 0.345 0.872 O
```

Computed properties:
- spin magnetization (μB/f.u.) = 3.003
- raw total energy (eV for the cell shown) = -159.11
- density of states at the Fermi level (states/eV/f.u.) = 0.00